Entry 1:
## U3Tl3FeSe8 (PBE-GGA)

Data for a relaxed U3Tl3FeSe8 crystal.

Structure (extended XYZ):
```
15
Lattice="4.0428 2.3341 7.9650 -4.0428 2.3341 7.9650 0.0000 -4.6682 7.9650" Properties=species:S:1:pos:R:3 pbc="T T T"
U -2.0214 -1.1670 7.9650
U -2.0214 1.1670 15.9300
U 0.0000 2.3341 7.9650
Tl -4.0428 0.0000 11.9475
Tl -2.0214 1.1670 3.9825
Tl 2.0214 1.1670 3.9825
Fe 0.0000 0.0000 0.0000
Se 0.0000 -2.4248 9.5113
Se -2.0999 1.2124 9.5113
Se -2.0999 -1.2124 14.3837
Se 0.0000 0.0000 6.2990
Se 0.0000 0.0000 17.5960
Se 2.0999 1.2124 9.5113
Se 2.0999 -1.2124 14.3837
Se 0.0000 2.4248 14.3837
```

Results
Space-group type: R-3m, No. 166

***

Entry 2:
## UTl2Fe2Se4 (PBE-GGA)

Data for a relaxed UTl2Fe2Se4 crystal.

Structure (extended XYZ):
```
9
Lattice="7.1461 -1.9368 0.0000 7.1461 1.9368 0.0000 -2.4410 0.0000 8.0118" Properties=species:S:1:pos:R:3 pbc="T T T"
U 0.0000 0.0000 0.0000
Tl 0.5704 0.0000 4.5711
Tl 11.2808 0.0000 3.4407
Fe 4.4943 0.0000 0.1071
Fe 7.3569 0.0000 7.9047
Se 2.4127 0.0000 1.4788
Se 6.2107 0.0000 1.8570
Se 5.6405 0.0000 6.1549
Se 9.4385 0.0000 6.5330
```

Results
Space-group type: C2/m, No. 12

***

E_tot? In order: -88.78, -51.85 eV for the cell shown.
Theoretical density? In order: 7.420, 8.044 g/cm3.